Ru2WO | PBE with a Hubbard U | optimized geometry

Summary:
energy: -7.17 eV/atom
calculated volume: 265.2 Å³/cell
N(E_F): 0.57 states/eV/f.u.

CIF file:
```
data_Ru2WO
_space_group_name_H-M_alt 'I -4 2 d'
_space_group_IT_number 122
_space_group_name_Hall 'I -4 2bw'
_cell_length_a 5.0453
_cell_length_b 5.0453
_cell_length_c 10.4173
_cell_angle_alpha 90.00
_cell_angle_beta 90.00
_cell_angle_gamma 90.00
loop_
_atom_site_label
_atom_site_type_symbol
_atom_site_fract_x
_atom_site_fract_y
_atom_site_fract_z
Ru1 Ru 0.1667 0.2500 0.1250
W1 W 0.0000 0.0000 0.5000
O1 O 0.0000 0.0000 0.0000
```